# Na2Hg2Sb GGA-PBE relaxed
data_Na2Hg2Sb
_chemical_formula_sum 'Na8 Hg8 Sb4'
_cell_length_a 12.670
_cell_length_b 4.758
_cell_length_c 9.836
_cell_angle_alpha 90.00
_cell_angle_beta 107.33
_cell_angle_gamma 90.00
_space_group_name_H-M_alt 'C 1 2/m 1'
_space_group_IT_number 12
loop_
_space_group_symop_operation_xyz
'x,y,z'
'-x,-y,-z'
'-x,y,-z'
'x,-y,z'
'x+1/2,y+1/2,z'
'-x+1/2,-y+1/2,-z'
'-x+1/2,y+1/2,-z'
'x+1/2,-y+1/2,z'
loop_
_atom_site_label
_atom_site_type_symbol
_atom_site_fract_x
_atom_site_fract_y
_atom_site_fract_z
Na1 Na 0.121 0.000 0.394
Na2 Na 0.157 0.000 0.024
Hg1 Hg 0.021 0.500 0.155
Hg2 Hg 0.099 0.500 0.623
Sb1 Sb 0.230 0.000 0.735
# - E: -1.7167 eV/atom
# - Spin magnetization: 0.00 μB/f.u.
# - Crystal system: monoclinic
# - Density of states at the Fermi level: 0.29 states/eV per atom

# Rb2HfSbPt GGA-PBE relaxed
data_Rb2HfSbPt
_chemical_formula_sum 'Rb2 Hf1 Sb1 Pt1'
_cell_length_a 6.680
_cell_length_b 6.680
_cell_length_c 5.416
_cell_angle_alpha 90.00
_cell_angle_beta 90.00
_cell_angle_gamma 90.00
_space_group_name_H-M_alt 'P 4/m m m'
_space_group_IT_number 123
_space_group_name_Hall '-P 4 2'
loop_
_atom_site_label
_atom_site_type_symbol
_atom_site_fract_x
_atom_site_fract_y
_atom_site_fract_z
Rb1 Rb 0.000 0.500 0.000
Hf1 Hf 0.000 0.000 0.500
Sb1 Sb 0.000 0.000 0.000
Pt1 Pt 0.500 0.500 0.500
# - E: -3.5187 eV/atom
# - Spin magnetization: 0.29 μB/f.u.
# - Crystal system: tetragonal
# - Density of states at the Fermi level: 1.89 states/eV per atom

# KRb3 GGA-PBE relaxed
data_KRb3
_chemical_formula_sum 'K2 Rb6'
_cell_length_a 4.904
_cell_length_b 16.304
_cell_length_c 8.597
_cell_angle_alpha 90.00
_cell_angle_beta 90.00
_cell_angle_gamma 90.00
_space_group_name_H-M_alt 'I m m 2'
_space_group_IT_number 44
loop_
_space_group_symop_operation_xyz
'x,y,z'
'-x,-y,z'
'-x,y,z'
'x,-y,z'
'x+1/2,y+1/2,z+1/2'
'-x+1/2,-y+1/2,z+1/2'
'-x+1/2,y+1/2,z+1/2'
'x+1/2,-y+1/2,z+1/2'
loop_
_atom_site_label
_atom_site_type_symbol
_atom_site_fract_x
_atom_site_fract_y
_atom_site_fract_z
K1 K 0.000 0.000 0.000
Rb1 Rb 0.000 0.255 0.330
Rb2 Rb 0.000 0.500 0.995
# - E: -0.9933 eV/atom
# - Spin magnetization: 0.00 μB/f.u.
# - Crystal system: orthorhombic
# - Density of states at the Fermi level: 0.87 states/eV per atom

# Hf5Zn4Cd GGA-PBE relaxed
data_Hf5Zn4Cd
_chemical_formula_sum 'Hf5 Zn4 Cd1'
_cell_length_a 3.312
_cell_length_b 3.312
_cell_length_c 16.989
_cell_angle_alpha 90.00
_cell_angle_beta 90.00
_cell_angle_gamma 90.00
_space_group_name_H-M_alt 'P 4/m m m'
_space_group_IT_number 123
_space_group_name_Hall '-P 4 2'
loop_
_atom_site_label
_atom_site_type_symbol
_atom_site_fract_x
_atom_site_fract_y
_atom_site_fract_z
Hf1 Hf 0.000 0.000 0.000
Hf2 Hf 0.000 0.000 0.193
Hf3 Hf 0.000 0.000 0.388
Zn1 Zn 0.500 0.500 0.097
Zn2 Zn 0.500 0.500 0.291
Cd1 Cd 0.500 0.500 0.500
# - E: -5.7166 eV/atom
# - Spin magnetization: 0.00 μB/f.u.
# - Crystal system: tetragonal
# - Density of states at the Fermi level: 0.32 states/eV per atom

# Pr2SnCl2 GGA-PBE relaxed
data_Pr2SnCl2
_chemical_formula_sum 'Pr8 Sn4 Cl8'
_cell_length_a 19.013
_cell_length_b 4.241
_cell_length_c 7.811
_cell_angle_alpha 90.00
_cell_angle_beta 99.59
_cell_angle_gamma 90.00
_space_group_name_H-M_alt 'C 1 2/m 1'
_space_group_IT_number 12
loop_
_space_group_symop_operation_xyz
'x,y,z'
'-x,-y,-z'
'-x,y,-z'
'x,-y,z'
'x+1/2,y+1/2,z'
'-x+1/2,-y+1/2,-z'
'-x+1/2,y+1/2,-z'
'x+1/2,-y+1/2,z'
loop_
_atom_site_label
_atom_site_type_symbol
_atom_site_fract_x
_atom_site_fract_y
_atom_site_fract_z
Pr1 Pr 0.129 0.000 0.448
Pr2 Pr 0.153 0.000 0.958
Sn1 Sn 0.218 0.500 0.711
Cl1 Cl 0.028 0.000 0.707
Cl2 Cl 0.102 0.500 0.171
# - E: -4.8660 eV/atom
# - Spin magnetization: 0.00 μB/f.u.
# - Crystal system: monoclinic
# - Density of states at the Fermi level: 0.19 states/eV per atom

# Sm3PuNi8 GGA-PBE relaxed
data_Sm3PuNi8
_chemical_formula_sum 'Sm9 Pu3 Ni24'
_cell_length_a 5.1137
_cell_length_b 5.1137
_cell_length_c 25.0466
_cell_angle_alpha 90.00
_cell_angle_beta 90.00
_cell_angle_gamma 120.00
_space_group_name_H-M_alt 'R 3 m'
_space_group_IT_number 160
_space_group_name_Hall 'R 3 -2"'
loop_
_atom_site_label
_atom_site_type_symbol
_atom_site_fract_x
_atom_site_fract_y
_atom_site_fract_z
Sm1 Sm 0.0000 0.0000 0.0000
Sm2 Sm 0.0000 0.0000 0.1260
Sm3 Sm 0.0000 0.0000 0.6219
Pu1 Pu 0.0000 0.0000 0.4982
Ni1 Ni 0.0000 0.0000 0.3116
Ni2 Ni 0.0000 0.0000 0.8120
Ni3 Ni 0.0006 0.5003 0.0618
Ni4 Ni 0.0020 0.5010 0.5613
# - E: -6.5517 eV/atom
# - Spin magnetization: 5.17 μB/f.u.
# - Crystal system: trigonal
# - Density of states at the Fermi level: 1.92 states/eV per atom

# DyHo4Hg5 GGA-PBE relaxed
data_DyHo4Hg5
_chemical_formula_sum 'Dy1 Ho4 Hg5'
_cell_length_a 3.707
_cell_length_b 3.707
_cell_length_c 18.578
_cell_angle_alpha 90.00
_cell_angle_beta 90.00
_cell_angle_gamma 90.00
_space_group_name_H-M_alt 'P 4/m m m'
_space_group_IT_number 123
_space_group_name_Hall '-P 4 2'
loop_
_atom_site_label
_atom_site_type_symbol
_atom_site_fract_x
_atom_site_fract_y
_atom_site_fract_z
Dy1 Dy 0.000 0.000 0.000
Ho1 Ho 0.000 0.000 0.201
Ho2 Ho 0.000 0.000 0.400
Hg1 Hg 0.500 0.500 0.101
Hg2 Hg 0.500 0.500 0.300
Hg3 Hg 0.500 0.500 0.500
# - E: -2.9242 eV/atom
# - Spin magnetization: 0.00 μB/f.u.
# - Crystal system: tetragonal
# - Density of states at the Fermi level: 0.87 states/eV per atom

# GaSnIrS2 GGA-PBE relaxed
data_GaSnIrS2
_chemical_formula_sum 'Ga2 Sn2 Ir2 S4'
_cell_length_a 12.279
_cell_length_b 3.411
_cell_length_c 5.011
_cell_angle_alpha 90.00
_cell_angle_beta 113.77
_cell_angle_gamma 90.00
_space_group_name_H-M_alt 'C 1 m 1'
_space_group_IT_number 8
loop_
_space_group_symop_operation_xyz
'x,y,z'
'x,-y,z'
'x+1/2,y+1/2,z'
'x+1/2,-y+1/2,z'
loop_
_atom_site_label
_atom_site_type_symbol
_atom_site_fract_x
_atom_site_fract_y
_atom_site_fract_z
Ga1 Ga 0.000 0.000 0.000
Sn1 Sn 0.232 0.500 0.723
Ir1 Ir 0.370 0.000 0.136
S1 S 0.014 0.500 0.633
S2 S 0.208 0.000 0.298
# - E: -5.0834 eV/atom
# - Spin magnetization: 0.00 μB/f.u.
# - Crystal system: monoclinic
# - Density of states at the Fermi level: 0.19 states/eV per atom

# Na3Ca2Pb3 GGA-PBE relaxed
data_Na3Ca2Pb3
_chemical_formula_sum 'Na3 Ca2 Pb3'
_cell_length_a 5.011
_cell_length_b 5.331
_cell_length_c 8.937
_cell_angle_alpha 90.00
_cell_angle_beta 90.00
_cell_angle_gamma 90.00
_space_group_name_H-M_alt 'P m m m'
_space_group_IT_number 47
loop_
_space_group_symop_operation_xyz
'x,y,z'
'-x,-y,-z'
'-x,-y,z'
'x,y,-z'
'x,-y,-z'
'-x,y,z'
'-x,y,-z'
'x,-y,z'
loop_
_atom_site_label
_atom_site_type_symbol
_atom_site_fract_x
_atom_site_fract_y
_atom_site_fract_z
Na1 Na 0.000 0.000 0.000
Na2 Na 0.500 0.000 0.254
Ca1 Ca 0.000 0.500 0.259
Pb1 Pb 0.000 0.000 0.500
Pb2 Pb 0.500 0.500 0.000
Pb3 Pb 0.500 0.500 0.500
# - E: -2.6744 eV/atom
# - Spin magnetization: 0.00 μB/f.u.
# - Crystal system: orthorhombic
# - Density of states at the Fermi level: 0.68 states/eV per atom

# NbOs3 GGA-PBE relaxed
data_NbOs3
_chemical_formula_sum 'Nb1 Os3'
_cell_length_a 2.807
_cell_length_b 4.479
_cell_length_c 4.829
_cell_angle_alpha 90.00
_cell_angle_beta 90.00
_cell_angle_gamma 90.00
_space_group_name_H-M_alt 'P m m 2'
_space_group_IT_number 25
loop_
_space_group_symop_operation_xyz
'x,y,z'
'-x,-y,z'
'-x,y,z'
'x,-y,z'
loop_
_atom_site_label
_atom_site_type_symbol
_atom_site_fract_x
_atom_site_fract_y
_atom_site_fract_z
Nb1 Nb 0.000 0.000 0.000
Os1 Os 0.000 0.500 0.351
Os2 Os 0.500 0.000 0.498
Os3 Os 0.500 0.500 0.833
# - E: -10.9624 eV/atom
# - Spin magnetization: 0.00 μB/f.u.
# - Crystal system: orthorhombic
# - Density of states at the Fermi level: 1.06 states/eV per atom

# BeTePd2Pt GGA-PBE relaxed
data_BeTePd2Pt
_chemical_formula_sum 'Be1 Te1 Pd2 Pt1'
_cell_length_a 5.021
_cell_length_b 5.021
_cell_length_c 4.928
_cell_angle_alpha 90.00
_cell_angle_beta 90.00
_cell_angle_gamma 90.00
_space_group_name_H-M_alt 'P 4/m m m'
_space_group_IT_number 123
_space_group_name_Hall '-P 4 2'
loop_
_atom_site_label
_atom_site_type_symbol
_atom_site_fract_x
_atom_site_fract_y
_atom_site_fract_z
Be1 Be 0.000 0.000 0.000
Te1 Te 0.500 0.500 0.000
Pd1 Pd 0.000 0.500 0.500
Pt1 Pt 0.500 0.500 0.500
# - E: -3.5780 eV/atom
# - Spin magnetization: 0.00 μB/f.u.
# - Crystal system: tetragonal
# - Density of states at the Fermi level: 0.90 states/eV per atom

# GdIr4Pb GGA-PBE relaxed
data_GdIr4Pb
_chemical_formula_sum 'Gd4 Ir16 Pb4'
_cell_length_a 7.622
_cell_length_b 7.622
_cell_length_c 7.622
_cell_angle_alpha 90.00
_cell_angle_beta 90.00
_cell_angle_gamma 90.00
_space_group_name_H-M_alt 'F -4 3 m'
_space_group_IT_number 216
_space_group_name_Hall 'F -4 2 3'
loop_
_atom_site_label
_atom_site_type_symbol
_atom_site_fract_x
_atom_site_fract_y
_atom_site_fract_z
Gd1 Gd 0.000 0.000 0.000
Ir1 Ir 0.125 0.125 0.375
Pb1 Pb 0.250 0.250 0.750
# - E: -9.1353 eV/atom
# - Spin magnetization: 6.69 μB/f.u.
# - Crystal system: cubic
# - Density of states at the Fermi level: 1.57 states/eV per atom